# EuGdTlIr

An optimized crystal structure of EuGdTlIr (PBE, the Alexandria database).

Results
The formation energy comes out at -338 meV per atom.

Geometry as CIF:
```
data_EuGdTlIr
_chemical_formula_sum 'Eu4 Gd4 Tl4 Ir4'
_symmetry_space_group_name_H-M 'F -4 3 m'
_symmetry_Int_Tables_number 216
_symmetry_space_group_name_Hall 'F -4 2 3'
_cell_length_a 7.3489
_cell_length_b 7.3489
_cell_length_c 7.3489
_cell_angle_alpha 90.00
_cell_angle_beta 90.00
_cell_angle_gamma 90.00
loop_
_atom_site_label
_atom_site_type_symbol
_atom_site_fract_x
_atom_site_fract_y
_atom_site_fract_z
Eu1 Eu 0.0000 0.0000 0.0000
Gd1 Gd 0.0000 0.0000 0.5000
Tl1 Tl 0.2500 0.2500 0.2500
Ir1 Ir 0.2500 0.2500 0.7500
```


# CsCd2PbBr8

An optimized crystal structure of CsCd2PbBr8 (PBE, the Alexandria database).

Results
For the formation energy (no corrections), the calculation gives -0.89 eV per atom.

Geometry as CIF:
```
data_CsCd2PbBr8
_chemical_formula_sum 'Cs1 Cd2 Pb1 Br8'
_symmetry_space_group_name_H-M 'P -1'
_symmetry_Int_Tables_number 2
_cell_length_a 5.9537
_cell_length_b 7.3685
_cell_length_c 10.5333
_cell_angle_alpha 93.03
_cell_angle_beta 100.85
_cell_angle_gamma 95.06
loop_
_symmetry_equiv_pos_as_xyz
'x,y,z'
'-x,-y,-z'
loop_
_atom_site_label
_atom_site_type_symbol
_atom_site_fract_x
_atom_site_fract_y
_atom_site_fract_z
Cs1 Cs 0.0000 0.0000 0.0000
Cd1 Cd 0.1145 0.5119 0.6996
Pb1 Pb 0.5000 0.0000 0.5000
Br1 Br 0.1923 0.7685 0.2818
Br2 Br 0.2296 0.3375 0.4881
Br3 Br 0.2465 0.4947 0.9831
Br4 Br 0.3527 0.8397 0.7420
```


# Nd2Ga2Pt3

An optimized crystal structure of Nd2Ga2Pt3 (PBE, the Alexandria database).

Results
The formation energy comes out at -1009 meV per atom.

Geometry as CIF:
```
data_Nd2Ga2Pt3
_chemical_formula_sum 'Nd8 Ga8 Pt12'
_symmetry_space_group_name_H-M 'C m c m'
_symmetry_Int_Tables_number 63
_symmetry_space_group_name_Hall '-C 2c 2'
_cell_length_a 4.1561
_cell_length_b 19.3737
_cell_length_c 7.2634
_cell_angle_alpha 90.00
_cell_angle_beta 90.00
_cell_angle_gamma 90.00
loop_
_atom_site_label
_atom_site_type_symbol
_atom_site_fract_x
_atom_site_fract_y
_atom_site_fract_z
Nd1 Nd 0.0000 0.0581 0.2500
Nd2 Nd 0.0000 0.1519 0.7500
Ga1 Ga 0.0000 0.3079 0.5553
Pt1 Pt 0.0000 0.2249 0.2500
Pt2 Pt 0.0000 0.4344 0.0523
```


# Ce3Ga2Ge3

An optimized crystal structure of Ce3Ga2Ge3 (PBE, the Alexandria database).

Results
The formation energy comes out at -597 meV per atom. Its excess energy over the best structure of this formula in the dataset is 0 meV per atom.

Geometry as CIF:
```
data_Ce3Ga2Ge3
_chemical_formula_sum 'Ce12 Ga8 Ge12'
_symmetry_space_group_name_H-M 'C m c m'
_symmetry_Int_Tables_number 63
_symmetry_space_group_name_Hall '-C 2c 2'
_cell_length_a 4.2248
_cell_length_b 11.2824
_cell_length_c 14.9689
_cell_angle_alpha 90.00
_cell_angle_beta 90.00
_cell_angle_gamma 90.00
loop_
_atom_site_label
_atom_site_type_symbol
_atom_site_fract_x
_atom_site_fract_y
_atom_site_fract_z
Ce1 Ce 0.0000 0.0593 0.1111
Ce2 Ce 0.0000 0.3459 0.2500
Ga1 Ga 0.0000 0.2264 0.6067
Ge1 Ge 0.0000 0.3773 0.0403
Ge2 Ge 0.0000 0.3782 0.7500
```


# LaLuZr2

An optimized crystal structure of LaLuZr2 (PBE, the Alexandria database).

Results
The formation energy comes out at 214 meV per atom.

Geometry as CIF:
```
data_LaLuZr2
_chemical_formula_sum 'La1 Lu1 Zr2'
_symmetry_space_group_name_H-M 'P 4/m m m'
_symmetry_Int_Tables_number 123
_symmetry_space_group_name_Hall '-P 4 2'
_cell_length_a 3.9359
_cell_length_b 3.9359
_cell_length_c 7.0770
_cell_angle_alpha 90.00
_cell_angle_beta 90.00
_cell_angle_gamma 90.00
loop_
_atom_site_label
_atom_site_type_symbol
_atom_site_fract_x
_atom_site_fract_y
_atom_site_fract_z
La1 La 0.0000 0.0000 0.0000
Lu1 Lu 0.0000 0.0000 0.5000
Zr1 Zr 0.5000 0.5000 0.2824
```


# SrRe2W

An optimized crystal structure of SrRe2W (PBE, the Alexandria database).

Results
The formation energy comes out at 1190 meV per atom. Its excess energy over the best structure of this formula in the dataset is 462 meV per atom.

Geometry as CIF:
```
data_SrRe2W
_chemical_formula_sum 'Sr2 Re4 W2'
_symmetry_space_group_name_H-M 'C m m m'
_symmetry_Int_Tables_number 65
_symmetry_space_group_name_Hall '-C 2 2'
_cell_length_a 6.4708
_cell_length_b 8.6285
_cell_length_c 2.6472
_cell_angle_alpha 90.00
_cell_angle_beta 90.00
_cell_angle_gamma 90.00
loop_
_atom_site_label
_atom_site_type_symbol
_atom_site_fract_x
_atom_site_fract_y
_atom_site_fract_z
Sr1 Sr 0.0000 0.0000 0.0000
Re1 Re 0.2500 0.2500 0.5000
W1 W 0.0000 0.5000 0.0000
```


# La2Te2Br

An optimized crystal structure of La2Te2Br (PBE, the Alexandria database).

Results
For the formation energy (no corrections), the calculation gives -1.18 eV per atom. Its excess energy over the best structure of this formula in the dataset is 514 meV per atom.

Geometry as CIF:
```
data_La2Te2Br
_chemical_formula_sum 'La4 Te4 Br2'
_symmetry_space_group_name_H-M 'I 4/m m m'
_symmetry_Int_Tables_number 139
_symmetry_space_group_name_Hall '-I 4 2'
_cell_length_a 5.4211
_cell_length_b 5.4211
_cell_length_c 14.3742
_cell_angle_alpha 90.00
_cell_angle_beta 90.00
_cell_angle_gamma 90.00
loop_
_atom_site_label
_atom_site_type_symbol
_atom_site_fract_x
_atom_site_fract_y
_atom_site_fract_z
La1 La 0.0000 0.0000 0.1389
Te1 Te 0.0000 0.5000 0.2500
Br1 Br 0.0000 0.0000 0.5000
```


# PaFeCoGe2

An optimized crystal structure of PaFeCoGe2 (PBE, the Alexandria database).

Results
The formation energy comes out at -452 meV per atom.

Geometry as CIF:
```
data_PaFeCoGe2
_chemical_formula_sum 'Pa2 Fe2 Co2 Ge4'
_symmetry_space_group_name_H-M 'I -4 m 2'
_symmetry_Int_Tables_number 119
_symmetry_space_group_name_Hall 'I -4 -2'
_cell_length_a 4.0155
_cell_length_b 4.0155
_cell_length_c 9.8308
_cell_angle_alpha 90.00
_cell_angle_beta 90.00
_cell_angle_gamma 90.00
loop_
_atom_site_label
_atom_site_type_symbol
_atom_site_fract_x
_atom_site_fract_y
_atom_site_fract_z
Pa1 Pa 0.0000 0.0000 0.0000
Fe1 Fe 0.0000 0.5000 0.7500
Co1 Co 0.0000 0.5000 0.2500
Ge1 Ge 0.0000 0.0000 0.3714
```


# CaTlHg6

An optimized crystal structure of CaTlHg6 (PBE, the Alexandria database).

Results
The formation energy comes out at -195 meV per atom.

Geometry as CIF:
```
data_CaTlHg6
_chemical_formula_sum 'Ca2 Tl2 Hg12'
_symmetry_space_group_name_H-M 'A m m 2'
_symmetry_Int_Tables_number 38
_cell_length_a 5.3223
_cell_length_b 6.7968
_cell_length_c 11.7565
_cell_angle_alpha 90.00
_cell_angle_beta 90.00
_cell_angle_gamma 90.00
loop_
_symmetry_equiv_pos_as_xyz
'x,y,z'
'-x,-y,z'
'-x,y,z'
'x,-y,z'
'x,y+1/2,z+1/2'
'-x,-y+1/2,z+1/2'
'-x,y+1/2,z+1/2'
'x,-y+1/2,z+1/2'
loop_
_atom_site_label
_atom_site_type_symbol
_atom_site_fract_x
_atom_site_fract_y
_atom_site_fract_z
Ca1 Ca 0.0000 0.0000 0.0000
Tl1 Tl 0.5000 0.0000 0.3316
Hg1 Hg 0.0000 0.0000 0.5031
Hg2 Hg 0.0000 0.2408 0.7464
Hg3 Hg 0.5000 0.0000 0.8324
Hg4 Hg 0.5000 0.2472 0.5832
```


# NaSrHoIn

An optimized crystal structure of NaSrHoIn (PBE, the Alexandria database).

Results
The formation energy comes out at -103 meV per atom.

Geometry as CIF:
```
data_NaSrHoIn
_chemical_formula_sum 'Na4 Sr4 Ho4 In4'
_symmetry_space_group_name_H-M 'F -4 3 m'
_symmetry_Int_Tables_number 216
_symmetry_space_group_name_Hall 'F -4 2 3'
_cell_length_a 7.9593
_cell_length_b 7.9593
_cell_length_c 7.9593
_cell_angle_alpha 90.00
_cell_angle_beta 90.00
_cell_angle_gamma 90.00
loop_
_atom_site_label
_atom_site_type_symbol
_atom_site_fract_x
_atom_site_fract_y
_atom_site_fract_z
Na1 Na 0.0000 0.0000 0.0000
Sr1 Sr 0.2500 0.2500 0.7500
Ho1 Ho 0.2500 0.2500 0.2500
In1 In 0.0000 0.0000 0.5000
```


# ScVTc2S

An optimized crystal structure of ScVTc2S (PBE, the Alexandria database).

Results
For the formation energy (no corrections), the calculation gives -0.03 eV per atom.

Geometry as CIF:
```
data_ScVTc2S
_chemical_formula_sum 'Sc1 V1 Tc2 S1'
_symmetry_space_group_name_H-M 'P 4/m m m'
_symmetry_Int_Tables_number 123
_symmetry_space_group_name_Hall '-P 4 2'
_cell_length_a 4.4218
_cell_length_b 4.4218
_cell_length_c 4.2525
_cell_angle_alpha 90.00
_cell_angle_beta 90.00
_cell_angle_gamma 90.00
loop_
_atom_site_label
_atom_site_type_symbol
_atom_site_fract_x
_atom_site_fract_y
_atom_site_fract_z
Sc1 Sc 0.0000 0.0000 0.0000
V1 V 0.5000 0.5000 0.0000
Tc1 Tc 0.0000 0.5000 0.5000
S1 S 0.5000 0.5000 0.5000
```


Repeat the tenth record exactly.
# NaSrHoIn

An optimized crystal structure of NaSrHoIn (PBE, the Alexandria database).

Results
The formation energy comes out at -103 meV per atom.

Geometry as CIF:
```
data_NaSrHoIn
_chemical_formula_sum 'Na4 Sr4 Ho4 In4'
_symmetry_space_group_name_H-M 'F -4 3 m'
_symmetry_Int_Tables_number 216
_symmetry_space_group_name_Hall 'F -4 2 3'
_cell_length_a 7.9593
_cell_length_b 7.9593
_cell_length_c 7.9593
_cell_angle_alpha 90.00
_cell_angle_beta 90.00
_cell_angle_gamma 90.00
loop_
_atom_site_label
_atom_site_type_symbol
_atom_site_fract_x
_atom_site_fract_y
_atom_site_fract_z
Na1 Na 0.0000 0.0000 0.0000
Sr1 Sr 0.2500 0.2500 0.7500
Ho1 Ho 0.2500 0.2500 0.2500
In1 In 0.0000 0.0000 0.5000
```